(1)
Density functional theory data (GGA-PBE) for ZrCoSb2Te after structural relaxation.

## Properties
- density (g cm⁻³) = 7.1
- ΔE_f (raw) (eV per atom) = 0.3350

Lattice parameters (Å, degrees): 4.835 4.835 5.227 90.00 90.00 90.00
Space group P4/mmm (No. 123)
One atom of each set of equivalent atoms:
Zr  0.000  0.000  0.000 (multiplicity 1)
Co  0.500  0.500  0.500 (multiplicity 1)
Sb  0.000  0.500  0.500 (multiplicity 2)
Te  0.500  0.500  0.000 (multiplicity 1)

(2)
Density functional theory data (GGA-PBE) for KCd2Ga after structural relaxation.

## Properties
- density (g cm⁻³) = 4.9
- E_form (meV/atom) = 31

Lattice parameters (Å, degrees): 3.734 3.734 8.155 90.00 90.00 90.00
Space group P4/mmm (No. 123)
One atom of each set of equivalent atoms:
K  0.000  0.000  0.000 (multiplicity 1)
Cd  0.500  0.500  0.311 (multiplicity 2)
Ga  0.000  0.000  0.500 (multiplicity 1)

(3)
Density functional theory data (GGA-PBE) for Ca4Ge2F after structural relaxation.

## Properties
- density (g cm⁻³) = 3.1
- ΔE_f (raw) (eV per atom) = -1.2259

Lattice parameters (Å, degrees): 4.605 4.605 16.477 90.00 90.00 90.00
Space group I4/mmm (No. 139)
One atom of each set of equivalent atoms:
Ca  0.000  0.000  0.183 (multiplicity 4)
Ca  0.000  0.500  0.000 (multiplicity 4)
Ge  0.000  0.000  0.369 (multiplicity 4)
F  0.000  0.000  0.000 (multiplicity 2)

(4)
Density functional theory data (GGA-PBE) for Ce2MgSi2 after structural relaxation.

## Properties
- density (g cm⁻³) = 5.2
- ΔE_f (raw) (eV per atom) = -0.5881

Lattice parameters (Å, degrees): 7.287 7.287 4.317 90.00 90.00 90.00
Space group P4/mbm (No. 127)
One atom of each set of equivalent atoms:
Ce  0.179  0.321  0.000 (multiplicity 4)
Mg  0.000  0.000  0.500 (multiplicity 2)
Si  0.116  0.616  0.500 (multiplicity 4)

(5)
Density functional theory data (GGA-PBE) for HgBiS2O8 after structural relaxation.

## Properties
- density (g cm⁻³) = 5.3
- ΔE_f (raw) (eV per atom) = -1.1478

Lattice parameters (Å, degrees): 5.1335 5.1335 24.9448 90.00 90.00 120.00
Space group R-3 (No. 148, hexagonal axes)
One atom of each set of equivalent atoms:
Hg  0.0000  0.0000  0.0000 (multiplicity 3)
Bi  0.0000  0.0000  0.5000 (multiplicity 3)
S  0.0000  0.0000  0.2452 (multiplicity 6)
O  0.0000  0.0000  0.3042 (multiplicity 6)
O  0.0014  0.7259  0.7758 (multiplicity 18)

(6)
Density functional theory data (GGA-PBE) for Tb4PPb2Se after structural relaxation.

## Properties
- density (g cm⁻³) = 8.9
- ΔE_f (raw) (eV per atom) = -1.0988

Lattice parameters (Å, degrees): 6.915 4.014 8.149 90.00 106.81 90.00
Space group P2/m (No. 10)
One atom of each set of equivalent atoms:
Tb  0.229  0.000  0.205 (multiplicity 2)
Tb  0.252  0.500  0.789 (multiplicity 2)
P  0.000  0.500  0.000 (multiplicity 1)
Pb  0.000  0.000  0.500 (multiplicity 1)
Pb  0.500  0.500  0.500 (multiplicity 1)
Se  0.500  0.000  0.000 (multiplicity 1)

(7)
Density functional theory data (GGA-PBE) for CrP2W after structural relaxation.

## Properties
- density (g cm⁻³) = 6.3
- E_form (meV/atom) = 276

Lattice parameters (Å, degrees): 5.428 5.428 10.682 90.00 90.00 90.00
Space group I-42d (No. 122)
One atom of each set of equivalent atoms:
Cr  0.000  0.000  0.000 (multiplicity 4)
P  0.247  0.250  0.125 (multiplicity 8)
W  0.000  0.000  0.500 (multiplicity 4)

(8)
Density functional theory data (GGA-PBE) for KPu4Pd3Se12 after structural relaxation.

## Properties
- density (g cm⁻³) = 7.0
- ΔE_f (raw) (eV per atom) = -0.7947

Lattice parameters (Å, degrees): 10.268 10.268 10.268 90.00 90.00 90.00
Space group Im-3 (No. 204)
One atom of each set of equivalent atoms:
K  0.000  0.000  0.000 (multiplicity 2)
Pu  0.250  0.250  0.250 (multiplicity 8)
Pd  0.000  0.000  0.500 (multiplicity 6)
Se  0.000  0.320  0.162 (multiplicity 24)